(one)
Below is a relaxed structure of Ir3PtO, with properties calculated at the PBE level.

The volume is 22.4 Å³/atom.

The space group is Pm-3m (No. 221) and the conventional cell measures 4.822, 4.822 and 4.822 Å, with angles of 90.00, 90.00 and 90.00 degrees. The inequivalent atoms are Ir at (0.000, 0.000, 0.500), Pt at (0.000, 0.000, 0.000) and O at (0.500, 0.500, 0.500).

***

(two)
Below is a relaxed structure of Ir3PtO, with properties calculated at the PBE level.

The volume is 14.2 Å³/atom.

The space group is Pm-3m (No. 221) and the conventional cell measures 4.139, 4.139 and 4.139 Å, with angles of 90.00, 90.00 and 90.00 degrees. The inequivalent atoms are Ir at (0.000, 0.000, 0.500), Pt at (0.500, 0.500, 0.500) and O at (0.000, 0.000, 0.000).

***

It is (two) that is the most stable of them.

***

(one)
Below is a relaxed structure of IrPtO2, with properties calculated at the PBE level.

The volume is 12.5 Å³/atom.

The space group is I-42d (No. 122) and the conventional cell measures 3.892, 3.892 and 13.199 Å, with angles of 90.00, 90.00 and 90.00 degrees. The inequivalent atoms are Ir at (0.000, 0.000, 0.000), Pt at (0.000, 0.000, 0.500) and O at (0.218, 0.250, 0.125).

***

(two)
Below is a relaxed structure of IrPtO2, with properties calculated at the PBE level.

The volume is 12.5 Å³/atom.

The space group is R-3m (No. 166, hexagonal axes) and the conventional cell measures 3.0869, 3.0869 and 18.2486 Å, with angles of 90.00, 90.00 and 120.00 degrees. The inequivalent atoms are Ir at (0.0000, 0.0000, 0.0000), Pt at (0.0000, 0.0000, 0.5000) and O at (0.0000, 0.0000, 0.3891).

***

It is (two) that is the most stable of them.

***

(one)
Below is a relaxed structure of Rb2IrO4, with properties calculated at the PBE level.

The volume is 23.5 Å³/atom.

The space group is Fmmm (No. 69) and the conventional cell measures 7.616, 9.290 and 9.312 Å, with angles of 90.00, 90.00 and 90.00 degrees. The inequivalent atoms are Rb at (0.250, 0.250, 0.250), Ir at (0.000, 0.000, 0.000), O at (0.000, 0.000, 0.197) and O at (0.000, 0.197, 0.000).

***

(two)
Below is a relaxed structure of Rb2IrO4, with properties calculated at the PBE level.

The volume is 16.5 Å³/atom.

The space group is I4/mmm (No. 139) and the conventional cell measures 4.013, 4.013 and 14.359 Å, with angles of 90.00, 90.00 and 90.00 degrees. The inequivalent atoms are Rb at (0.000, 0.000, 0.153), Ir at (0.000, 0.000, 0.500), O at (0.000, 0.000, 0.367) and O at (0.000, 0.500, 0.000).

***

(three)
Below is a relaxed structure of Rb2IrO4, with properties calculated at the PBE level.

The volume is 21.5 Å³/atom.

The space group is C2/m (No. 12) and the conventional cell measures 13.483, 6.443 and 7.875 Å, with angles of 90.00, 118.39 and 90.00 degrees. The inequivalent atoms are Rb at (0.017, 0.000, 0.247), Rb at (0.157, 0.500, 0.753), Ir at (0.175, 0.500, 0.230), O at (0.082, 0.500, 0.338), O at (0.148, 0.245, 0.114) and O at (0.170, 0.000, 0.666).

***

It is (three) that is the most stable of them.

***

(one)
Below is a relaxed structure of Rb3IrO3, with properties calculated at the PBE level.

The volume is 25.4 Å³/atom.

The space group is Cmcm (No. 63) and the conventional cell measures 8.417, 14.545 and 5.809 Å, with angles of 90.00, 90.00 and 90.00 degrees. The inequivalent atoms are Rb at (0.000, 0.183, 0.250), Rb at (0.225, 0.408, 0.250), Ir at (0.000, 0.333, 0.750), O at (0.000, 0.204, 0.750) and O at (0.193, 0.398, 0.750).

***

(two)
Below is a relaxed structure of Rb3IrO3, with properties calculated at the PBE level.

The volume is 23.8 Å³/atom.

The space group is R3m (No. 160, hexagonal axes) and the conventional cell measures 10.1701, 10.1701 and 5.5751 Å, with angles of 90.00, 90.00 and 120.00 degrees. The inequivalent atoms are Rb at (0.1975, 0.3949, 0.0000), Ir at (0.0000, 0.0000, 0.8333) and O at (0.2127, 0.1064, 0.8368).

***

It is (one) that is the most stable of them.

***

(one)
Below is a relaxed structure of Rb3IrO6, with properties calculated at the PBE level.

The volume is 19.6 Å³/atom.

The space group is Fm-3m (No. 225) and the conventional cell measures 9.216, 9.216 and 9.216 Å, with angles of 90.00, 90.00 and 90.00 degrees. The inequivalent atoms are Rb at (0.000, 0.000, 0.000), Rb at (0.250, 0.250, 0.250), Ir at (0.000, 0.000, 0.500) and O at (0.000, 0.000, 0.297).

***

(two)
Below is a relaxed structure of Rb3IrO6, with properties calculated at the PBE level.

The volume is 19.4 Å³/atom.

The space group is P4/mnc (No. 128) and the conventional cell measures 6.434, 6.434 and 9.374 Å, with angles of 90.00, 90.00 and 90.00 degrees. The inequivalent atoms are Rb at (0.000, 0.000, 0.000), Rb at (0.000, 0.500, 0.250), Ir at (0.000, 0.000, 0.500), O at (0.000, 0.000, 0.299) and O at (0.140, 0.255, 0.500).

***

It is (two) that is the most stable of them.

***

(one)
Below is a relaxed structure of RbIr2SO, with properties calculated at the PBE level.

The volume is 21.0 Å³/atom.

The space group is P4/mmm (No. 123) and the conventional cell measures 4.313, 4.313 and 5.632 Å, with angles of 90.00, 90.00 and 90.00 degrees. The inequivalent atoms are Rb at (0.000, 0.000, 0.000), Ir at (0.000, 0.500, 0.500), S at (0.500, 0.500, 0.500) and O at (0.500, 0.500, 0.000).

***

(two)
Below is a relaxed structure of RbIr2SO, with properties calculated at the PBE level.

The volume is 27.6 Å³/atom.

The space group is P4/mmm (No. 123) and the conventional cell measures 4.270, 4.270 and 7.573 Å, with angles of 90.00, 90.00 and 90.00 degrees. The inequivalent atoms are Rb at (0.000, 0.000, 0.000), Ir at (0.000, 0.500, 0.500), S at (0.000, 0.000, 0.500) and O at (0.500, 0.500, 0.000).

***

It is (one) that is the most stable of them.

***

(one)
Below is a relaxed structure of ReIr3O, with properties calculated at the PBE level.

The volume is 21.3 Å³/atom.

The space group is Pm-3m (No. 221) and the conventional cell measures 4.741, 4.741 and 4.741 Å, with angles of 90.00, 90.00 and 90.00 degrees. The inequivalent atoms are Re at (0.000, 0.000, 0.000), Ir at (0.000, 0.000, 0.500) and O at (0.500, 0.500, 0.500).

***

(two)
Below is a relaxed structure of ReIr3O, with properties calculated at the PBE level.

The volume is 14.0 Å³/atom.

The space group is Pm-3m (No. 221) and the conventional cell measures 4.118, 4.118 and 4.118 Å, with angles of 90.00, 90.00 and 90.00 degrees. The inequivalent atoms are Re at (0.000, 0.000, 0.000), Ir at (0.000, 0.500, 0.500) and O at (0.500, 0.500, 0.500).

***

It is (two) that is the most stable of them.

***

(one)
Below is a relaxed structure of ReIrO2, with properties calculated at the PBE level.

The volume is 13.1 Å³/atom.

The space group is I-42d (No. 122) and the conventional cell measures 4.697, 4.697 and 9.532 Å, with angles of 90.00, 90.00 and 90.00 degrees. The inequivalent atoms are Re at (0.000, 0.000, 0.000), Ir at (0.000, 0.000, 0.500) and O at (0.220, 0.250, 0.125).

***

(two)
Below is a relaxed structure of ReIrO2, with properties calculated at the PBE level.

The volume is 11.0 Å³/atom.

The space group is Fm-3m (No. 225) and the conventional cell measures 5.603, 5.603 and 5.603 Å, with angles of 90.00, 90.00 and 90.00 degrees. The inequivalent atoms are Re at (0.000, 0.000, 0.000), Ir at (0.000, 0.000, 0.500) and O at (0.250, 0.250, 0.250).

***

It is (one) that is the most stable of them.